Model P:
The following is a DFT calculation (PBE) of a relaxed PrSnSb2 crystal.

Cell: 4.493 4.493 11.564 Å, 90.00 90.00 90.00°
Fractional positions:
Sn  0.500  0.500  0.000
Sn  0.000  0.000  0.000
Pr  0.000  0.500  0.281
Pr  0.500  0.000  0.719
Sb  0.500  0.500  0.500
Sb  0.000  0.000  0.500
Sb  0.000  0.500  0.773
Sb  0.500  0.000  0.227

Summary:
As for the crystal system: tetragonal. As for the symmetry: No. 129. Its spin magnetization is 0.0 μB/cell.


Model Q:
The following is a DFT calculation (PBE) of a relaxed PrSnSb2 crystal.

Cell: 4.401 5.074 5.074 Å, 90.00 90.00 90.00°
Fractional positions:
Sb  0.000  0.000  0.500
Sb  0.000  0.500  0.000
Pr  0.500  0.500  0.500
Sn  0.500  0.000  0.000

Summary:
As for the crystal system: tetragonal. As for the symmetry: No. 123. Its spin magnetization is 0.0 μB/cell.


It is model P that is the most stable of them.


Model P:
The following is a DFT calculation (PBE) of a relaxed PrSnSb2 crystal.

Cell: 3.903 3.903 10.510 Å, 79.30 79.30 60.00°
Fractional positions:
Sb  0.102  0.102  0.693
Sb  0.898  0.898  0.307
Sn  0.500  0.500  0.500
Pr  0.000  0.000  0.000

Summary:
As for the crystal system: trigonal. As for the symmetry: No. 166. Its spin magnetization is 0.0 μB/cell.


Model Q:
The following is a DFT calculation (PBE) of a relaxed PrSnSb2 crystal.

Cell: 6.714 6.714 6.714 Å, 70.40 70.60 109.40°
Fractional positions:
Sn  0.500  0.750  0.750
Sn  0.500  0.250  0.250
Sb  0.076  0.788  0.712
Sb  0.500  0.288  0.788
Sb  0.924  0.212  0.288
Sb  0.500  0.712  0.212
Pr  0.000  0.750  0.250
Pr  0.000  0.250  0.750

Summary:
As for the crystal system: tetragonal. As for the symmetry: No. 140. Its spin magnetization is 0.0 μB/cell.


Model R:
The following is a DFT calculation (PBE) of a relaxed PrSnSb2 crystal.

Cell: 4.988 4.988 6.807 Å, 68.51 68.51 60.00°
Fractional positions:
Pr  0.668  0.668  0.995
Sb  0.255  0.255  0.235
Sb  0.091  0.091  0.728
Sn  0.486  0.486  0.542

Summary:
As for the crystal system: trigonal. As for the symmetry: No. 160. Its spin magnetization is 0.0 μB/cell.


It is model Q that is the most stable of them.


Model P:
The following is a DFT calculation (PBE) of a relaxed PrSnSb crystal.

Cell: 4.936 4.161 4.936 Å, 90.00 75.35 90.00°
Fractional positions:
Pr  0.768  0.500  0.768
Sn  0.167  0.500  0.167
Sb  0.424  0.000  0.424

Summary:
As for the crystal system: orthorhombic. As for the symmetry: No. 38. Its spin magnetization is 0.0 μB/cell.


Model Q:
The following is a DFT calculation (PBE) of a relaxed PrSnSb crystal.

Cell: 3.977 5.128 5.128 Å, 120.00 90.00 90.00°
Fractional positions:
Sn  0.168  0.667  0.333
Sb  0.166  0.000  0.000
Pr  0.667  0.333  0.667

Summary:
As for the crystal system: hexagonal. As for the symmetry: No. 187. Its spin magnetization is 0.0 μB/cell.


Model R:
The following is a DFT calculation (PBE) of a relaxed PrSnSb crystal.

Cell: 7.371 7.371 8.839 Å, 106.03 106.03 109.75°
Fractional positions:
Sb  0.578  0.078  0.500
Sb  0.672  0.672  0.000
Sb  0.922  0.422  0.500
Sb  0.328  0.328  0.000
Pr  0.305  0.305  0.609
Pr  0.695  0.695  0.391
Pr  0.945  0.445  0.891
Pr  0.555  0.055  0.109
Sn  0.625  0.875  0.750
Sn  0.125  0.875  0.250
Sn  0.125  0.375  0.250
Sn  0.125  0.875  0.750

Summary:
As for the crystal system: orthorhombic. As for the symmetry: No. 70. Its spin magnetization is 0.0 μB/cell.


It is model Q that is the most stable of them.


Model P:
The following is a DFT calculation (PBE) of a relaxed Pr5Sn2Sb crystal.

Cell: 8.044 8.457 6.839 Å, 128.24 126.02 90.00°
Fractional positions:
Sn  0.721  0.260  0.442
Sn  0.224  0.730  0.447
Sb  0.222  0.210  0.444
Pr  0.249  0.735  0.964
Pr  0.730  0.216  0.925
Pr  0.195  0.216  0.925
Pr  0.715  0.735  0.964
Pr  0.722  0.676  0.445

Summary:
As for the crystal system: monoclinic. As for the symmetry: No. 8. Its spin magnetization is 0.0 μB/cell.


Model Q:
The following is a DFT calculation (PBE) of a relaxed Pr5Sn2Sb crystal.

Cell: 8.430 8.430 9.317 Å, 116.90 116.90 90.00°
Fractional positions:
Sn  0.135  0.365  0.000
Sn  0.635  0.135  0.000
Sn  0.365  0.865  0.000
Sn  0.865  0.635  0.000
Pr  0.187  0.014  0.700
Pr  0.687  0.187  0.700
Pr  0.813  0.986  0.300
Pr  0.486  0.313  0.300
Pr  0.986  0.486  0.300
Pr  0.313  0.813  0.300
Pr  0.014  0.514  0.700
Pr  0.000  0.000  0.000
Pr  0.514  0.687  0.700
Pr  0.500  0.500  0.000
Sb  0.750  0.750  0.500
Sb  0.250  0.250  0.500

Summary:
As for the crystal system: tetragonal. As for the symmetry: No. 140. Its spin magnetization is 4.7 μB/cell.


It is model Q that is the most stable of them.


Model P:
The following is a DFT calculation (PBE) of a relaxed PrSn2Sb crystal.

Cell: 3.817 3.817 10.783 Å, 79.81 79.81 60.00°
Fractional positions:
Sb  0.500  0.500  0.500
Sn  0.101  0.101  0.697
Sn  0.899  0.899  0.303
Pr  0.000  0.000  0.000

Summary:
As for the crystal system: trigonal. As for the symmetry: No. 166. Its spin magnetization is 0.0 μB/cell.


Model Q:
The following is a DFT calculation (PBE) of a relaxed PrSn2Sb crystal.

Cell: 5.027 4.708 4.708 Å, 90.00 90.00 90.00°
Fractional positions:
Sn  0.000  0.000  0.500
Sn  0.000  0.500  0.000
Sb  0.500  0.000  0.000
Pr  0.500  0.500  0.500

Summary:
As for the crystal system: tetragonal. As for the symmetry: No. 123. Its spin magnetization is 0.0 μB/cell.


It is model Q that is the most stable of them.


Model P:
The following is a DFT calculation (PBE) of a relaxed SrPrSb2 crystal.

Cell: 4.559 4.559 8.365 Å, 74.19 74.19 60.00°
Fractional positions:
Sb  0.745  0.745  0.765
Sb  0.255  0.255  0.235
Pr  0.000  0.000  0.000
Sr  0.500  0.500  0.500

Summary:
As for the crystal system: trigonal. As for the symmetry: No. 166. Its spin magnetization is 0.0 μB/cell.


Model Q:
The following is a DFT calculation (PBE) of a relaxed SrPrSb2 crystal.

Cell: 4.788 4.788 7.939 Å, 72.45 72.45 60.00°
Fractional positions:
Sr  0.670  0.670  0.991
Sb  0.090  0.090  0.729
Sb  0.243  0.243  0.270
Pr  0.496  0.496  0.511

Summary:
As for the crystal system: trigonal. As for the symmetry: No. 160. Its spin magnetization is 0.0 μB/cell.


It is model P that is the most stable of them.